1.
The following is a PBE calculation of a relaxed structure of LaAs2Os, from the Alexandria database.

Lattice parameters (Å, degrees): 4.3358 4.9509 7.2449 90.00 90.00 90.00
Closest atoms and distances in Å follow each position.
Fractional coordinates of all 8 atoms:
La1 0.0000 0.0000 0.0000  8 As 3.06-3.29, 4 La 3.29
La2 0.5000 0.5000 0.0000  8 As 3.06-3.29, 4 La 3.29
As1 0.0000 0.5000 0.2983  4 Os 2.61-2.87, 1 As 2.92
As2 0.0000 0.5000 0.7017  4 Os 2.61-2.87, 1 As 2.92
As3 0.5000 0.0000 0.2983  4 Os 2.61-2.87, 1 As 2.92
As4 0.5000 0.0000 0.7017  4 Os 2.61-2.87, 1 As 2.92
Os1 0.0000 0.0000 0.5000  8 As 2.61-2.87
Os2 0.5000 0.5000 0.5000  8 As 2.61-2.87

Energy of formation   -120 meV/atom
Space group   Cmmm, No. 65
Polymorph energy (0 for the lowest one)   542 meV per atom
DOS(E_F)   0.809 states/eV per atom


2.
The following is a PBE calculation of a relaxed structure of DyEr3Ir2, from the Alexandria database.

Lattice parameters (Å, degrees): 4.5828 8.7062 7.1922 90.00 90.00 90.00
Closest atoms and distances in Å follow each position.
Fractional coordinates of all 12 atoms:
Dy1 0.0000 0.0866 0.0000  3 Ir 2.81-3.00
Dy2 0.0000 0.9134 0.5000  3 Ir 2.81-3.00
Er1 0.0000 0.3302 0.6315  4 Ir 2.86-2.92
Er2 0.0000 0.6698 0.1315  4 Ir 2.86-2.92
Er3 0.5000 0.1716 0.3483  4 Ir 2.86-2.95
Er4 0.5000 0.4130 0.9795  3 Ir 2.80-2.99
Er5 0.5000 0.5870 0.4795  3 Ir 2.80-2.99
Er6 0.5000 0.8284 0.8483  4 Ir 2.86-2.95
Ir1 0.0000 0.3449 0.2340  1 Dy 2.81, 6 Er 2.86-2.99
Ir2 0.0000 0.6551 0.7340  1 Dy 2.81, 6 Er 2.86-2.99
Ir3 0.5000 0.1565 0.7451  5 Er 2.80-2.95, 2 Dy 3.00
Ir4 0.5000 0.8435 0.2451  5 Er 2.80-2.95, 2 Dy 3.00

Energy of formation   -761 meV/atom
Space group   Pmc2_1, No. 26
Polymorph energy (0 for the lowest one)   0 meV per atom
DOS(E_F)   0.941 states/eV per atom


3.
The following is a PBE calculation of a relaxed structure of Al3PbO, from the Alexandria database.

Lattice parameters (Å, degrees): 4.4599 4.4599 4.4599 90.00 90.00 90.00
Closest atoms and distances in Å follow each position.
Fractional coordinates of all 5 atoms:
Al1 0.0000 0.0000 0.5000  2 O 2.23
Al2 0.0000 0.5000 0.0000  2 O 2.23
Al3 0.5000 0.0000 0.0000  2 O 2.23
Pb1 0.5000 0.5000 0.5000  12 Al 3.15
O1 0.0000 0.0000 0.0000  6 Al 2.23

Space group   Pm-3m, No. 221
Polymorph energy (0 for the lowest one)   0 meV per atom
DOS(E_F)   0.379 states/eV per atom
ΔE_f (raw)   -0.23 eV/atom


4.
The following is a PBE calculation of a relaxed structure of RbGeP, from the Alexandria database.

Lattice parameters (Å, degrees): 6.9018 6.9123 7.0929 117.89 91.30 119.51
Closest atoms and distances in Å follow each position.
Fractional coordinates of all 6 atoms:
Rb1 0.0000 0.0000 0.0000  3 Ge 3.51-3.60, 4 P 3.52-3.57
Rb2 0.4926 0.9824 0.4766  3 Ge 3.58-3.92, 4 P 3.64-3.67
Ge1 0.5484 0.4704 0.0179  2 P 2.42, 1 Ge 2.58
Ge2 0.7941 0.6066 0.3916  2 P 2.42, 1 Ge 2.58
P1 0.5831 0.1588 0.0593  1 P 2.22, 2 Ge 2.42
P2 0.9004 0.4734 0.0527  1 P 2.22, 2 Ge 2.42

Energy of formation   -268 meV/atom
Space group   P1, No. 1
DOS(E_F)   0.000 states/eV per atom


5.
The following is a PBE calculation of a relaxed structure of Rb2Tm2BiSe6, from the Alexandria database.

Lattice parameters (Å, degrees): 7.1598 7.1598 8.6313 97.69 97.69 120.32
Closest atoms and distances in Å follow each position.
Fractional coordinates of all 11 atoms:
Rb1 0.1639 0.8361 0.0000  6 Se 3.47-3.51
Rb2 0.8361 0.1639 0.0000  6 Se 3.47-3.51
Tm1 0.3326 0.6674 0.5000  6 Se 2.84-2.85
Tm2 0.6674 0.3326 0.5000  6 Se 2.84-2.85
Bi1 0.0000 0.0000 0.5000  6 Se 2.93-2.94
Se1 0.0639 0.4065 0.6937  2 Tm 2.84-2.85, 1 Bi 2.94
Se2 0.2813 0.2813 0.3065  2 Tm 2.85, 1 Bi 2.93
Se3 0.4065 0.0639 0.6937  2 Tm 2.84-2.85, 1 Bi 2.94
Se4 0.5935 0.9361 0.3063  2 Tm 2.84-2.85, 1 Bi 2.94
Se5 0.7187 0.7187 0.6935  2 Tm 2.85, 1 Bi 2.93
Se6 0.9361 0.5935 0.3063  2 Tm 2.84-2.85, 1 Bi 2.94

Space group   C2/m, No. 12
DOS(E_F)   0.721 states/eV per atom
ΔE_f (raw)   -1.30 eV/atom


6.
The following is a PBE calculation of a relaxed structure of CuAu, from the Alexandria database.

Lattice parameters (Å, degrees): 4.4440 4.4440 10.8465 90.00 90.00 120.00
Closest atoms and distances in Å follow each position.
Fractional coordinates of all 12 atoms:
Cu1 0.0000 0.0000 0.1245  4 Cu 2.70-2.72, 4 Au 2.71-2.72
Cu2 0.0000 0.0000 0.8755  4 Cu 2.70-2.72, 4 Au 2.71-2.72
Cu3 0.3333 0.6667 0.5421  4 Cu 2.70-2.72, 4 Au 2.71-2.72
Cu4 0.3333 0.6667 0.7912  4 Cu 2.70-2.72, 4 Au 2.71-2.72
Cu5 0.6667 0.3333 0.2088  4 Cu 2.70-2.72, 4 Au 2.71-2.72
Cu6 0.6667 0.3333 0.4579  4 Cu 2.70-2.72, 4 Au 2.71-2.72
Au1 0.0000 0.0000 0.3747  4 Cu 2.71-2.72, 4 Au 2.72
Au2 0.0000 0.0000 0.6253  4 Cu 2.71-2.72, 4 Au 2.72
Au3 0.3333 0.6667 0.0413  4 Cu 2.71-2.72, 4 Au 2.72
Au4 0.3333 0.6667 0.2920  4 Cu 2.71-2.72, 4 Au 2.72
Au5 0.6667 0.3333 0.7080  4 Cu 2.71-2.72, 4 Au 2.72
Au6 0.6667 0.3333 0.9587  4 Cu 2.71-2.72, 4 Au 2.72

Energy of formation   49 meV/atom
Space group   R-3m, No. 166
DOS(E_F)   0.420 states/eV per atom


7.
The following is a PBE calculation of a relaxed structure of Y2TlRuC, from the Alexandria database.

Lattice parameters (Å, degrees): 5.0611 5.0611 3.9581 90.00 90.00 90.00
Closest atoms and distances in Å follow each position.
Fractional coordinates of all 5 atoms:
Y1 0.0000 0.5000 0.0000  2 C 2.53
Y2 0.5000 0.0000 0.0000  2 C 2.53
Tl1 0.0000 0.0000 0.5000  8 Y 3.21, 4 Ru 3.58
Ru1 0.5000 0.5000 0.5000  2 C 1.98
C1 0.5000 0.5000 0.0000  2 Ru 1.98

Energy of formation   -375 meV/atom
Space group   P4/mmm, No. 123
DOS(E_F)   0.654 states/eV per atom


8.
The following is a PBE calculation of a relaxed structure of PbAu2C, from the Alexandria database.

Lattice parameters (Å, degrees): 5.3768 5.3768 12.2679 90.00 90.00 90.00
Closest atoms and distances in Å follow each position.
Fractional coordinates of all 16 atoms:
Pb1 0.0000 0.0000 0.0000  4 Au 2.98
Pb2 0.0000 0.5000 0.2500  4 Au 2.98
Pb3 0.5000 0.0000 0.7500  4 Au 2.98
Pb4 0.5000 0.5000 0.5000  4 Au 2.98
Au1 0.0963 0.2500 0.6250  2 C 2.10
Au2 0.2500 0.5963 0.8750  2 C 2.10
Au3 0.2500 0.9037 0.3750  2 C 2.10
Au4 0.4037 0.2500 0.1250  2 C 2.10
Au5 0.5963 0.7500 0.1250  2 C 2.10
Au6 0.7500 0.0963 0.3750  2 C 2.10
Au7 0.7500 0.4037 0.8750  2 C 2.10
Au8 0.9037 0.7500 0.6250  2 C 2.10
C1 0.0000 0.0000 0.5000  4 Au 2.10
C2 0.0000 0.5000 0.7500  4 Au 2.10
C3 0.5000 0.0000 0.2500  4 Au 2.10
C4 0.5000 0.5000 0.0000  4 Au 2.10

Energy of formation   754 meV/atom
Space group   I-42d, No. 122
Polymorph energy (0 for the lowest one)   0 meV per atom
DOS(E_F)   0.013 states/eV per atom


9.
The following is a PBE calculation of a relaxed structure of Cs2NbPdSe4, from the Alexandria database.

Lattice parameters (Å, degrees): 14.5382 12.7941 8.1086 85.00 61.24 33.75
Closest atoms and distances in Å follow each position.
Fractional coordinates of all 16 atoms:
Cs1 0.0519 0.0519 0.6981  8 Se 3.74-3.91
Cs2 0.3019 0.3019 0.9481  8 Se 3.74-3.91
Cs3 0.6981 0.6981 0.0519  8 Se 3.74-3.91
Cs4 0.9481 0.9481 0.3019  8 Se 3.74-3.91
Nb1 0.3750 0.3750 0.3750  4 Se 2.45
Nb2 0.6250 0.6250 0.6250  4 Se 2.45
Pd1 0.1250 0.1250 0.1250  4 Se 2.54
Pd2 0.8750 0.8750 0.8750  4 Se 2.54
Se1 0.0133 0.3452 0.4314  1 Nb 2.45, 1 Pd 2.54
Se2 0.2899 0.5686 0.6548  1 Nb 2.45, 1 Pd 2.54
Se3 0.3452 0.0133 0.7101  1 Nb 2.45, 1 Pd 2.54
Se4 0.4314 0.7101 0.0133  1 Nb 2.45, 1 Pd 2.54
Se5 0.5686 0.2899 0.9867  1 Nb 2.45, 1 Pd 2.54
Se6 0.6548 0.9867 0.2899  1 Nb 2.45, 1 Pd 2.54
Se7 0.7101 0.4314 0.3452  1 Nb 2.45, 1 Pd 2.54
Se8 0.9867 0.6548 0.5686  1 Nb 2.45, 1 Pd 2.54

Space group   Fddd, No. 70
DOS(E_F)   0.953 states/eV per atom
ΔE_f (raw)   -0.95 eV/atom


10.
The following is a PBE calculation of a relaxed structure of MnAl2Se, from the Alexandria database.

Lattice parameters (Å, degrees): 9.0635 2.9537 5.7418 90.00 100.49 90.00
Closest atoms and distances in Å follow each position.
Fractional coordinates of all 8 atoms:
Mn1 0.0000 0.0000 0.0000  2 Se 2.39, 5 Al 2.45-2.59
Mn2 0.5000 0.5000 0.0000  2 Se 2.39, 5 Al 2.45-2.59
Al1 0.2269 0.5000 0.0764  3 Mn 2.50-2.59
Al2 0.4766 0.0000 0.3309  2 Mn 2.45, 1 Se 2.48
Al3 0.7269 0.0000 0.0764  3 Mn 2.50-2.59
Al4 0.9766 0.5000 0.3309  2 Mn 2.45, 1 Se 2.48
Se1 0.3730 0.0000 0.7027  2 Mn 2.39, 1 Al 2.48
Se2 0.8730 0.5000 0.7027  2 Mn 2.39, 1 Al 2.48

Space group   Cm, No. 8
DOS(E_F)   0.405 states/eV per atom
ΔE_f (raw)   -0.07 eV/atom


Number 1: electronic total energy -51.88 eV per cell. Number 2: electronic total energy -81.16 eV per cell. Number 3: electronic total energy -21.04 eV per cell. Number 4: electronic total energy -23.60 eV per cell. Number 5: electronic total energy -49.93 eV per cell. Number 6: electronic total energy -43.65 eV per cell. Number 7: electronic total energy -35.67 eV per cell. Number 8: electronic total energy -65.89 eV per cell. Number 9: electronic total energy -76.95 eV per cell. Number 10: electronic total energy -40.82 eV per cell.